Record 1
## In4GaHg3 (PBE)

Data for In4GaHg3 after structural relaxation. Values from VASP.

## Properties
As for the space-group type: Pmm2 (25). The calculation puts the spin magnetization at 0.000 μB per atom. As for the volume: 211 Å³ per cell. For the excess energy over the best structure of this formula in the dataset, the calculation gives 0 meV/atom.

Structure (Quantum ESPRESSO input):
```
&SYSTEM
  ibrav = 0, nat = 8, ntyp = 3
/
ATOMIC_SPECIES
In 114.82 In.upf
Ga 69.72 Ga.upf
Hg 200.59 Hg.upf
CELL_PARAMETERS angstrom
3.863 0.000 0.000
0.000 4.718 0.000
0.000 0.000 11.549
ATOMIC_POSITIONS angstrom
In 0.000 0.000 0.000
In 0.000 2.359 3.078
In 1.932 0.000 5.541
In 1.932 2.359 8.928
Ga 1.932 0.000 2.593
Hg 0.000 0.000 8.479
Hg 0.000 2.359 6.141
Hg 1.932 2.359 0.400
```

=====

Record 2
## Ba3Sr5Tl5Cu3O19 (PBE)

Data for Ba3Sr5Tl5Cu3O19 after structural relaxation. Values from VASP.

## Properties
As for the space-group type: Pm (6). The calculation puts the spin magnetization at 0.000 μB per atom. Its formation energy without anion corrections is -1.62 eV per atom. As for the volume: 547 Å³ per cell.

Structure (Quantum ESPRESSO input):
```
&SYSTEM
  ibrav = 0, nat = 35, ntyp = 5
/
ATOMIC_SPECIES
Ba 137.33 Ba.upf
Sr 87.62 Sr.upf
Tl 204.38 Tl.upf
Cu 63.55 Cu.upf
O 16.00 O.upf
CELL_PARAMETERS angstrom
9.402 0.000 0.000
0.000 3.773 0.000
-4.698 0.000 15.420
ATOMIC_POSITIONS angstrom
Ba 0.000 0.000 0.000
Ba -0.033 0.000 3.916
Ba 3.923 0.000 3.933
Sr -0.028 0.000 7.705
Sr -0.779 0.000 11.679
Sr 3.855 0.000 0.015
Sr 3.919 0.000 7.712
Sr 4.665 0.000 11.691
Tl -2.754 1.887 9.331
Tl 1.945 1.887 10.070
Tl 1.888 1.887 13.787
Tl 6.592 1.887 1.844
Tl 6.645 1.887 5.582
Cu -2.661 1.887 13.503
Cu 2.031 1.887 1.969
Cu 1.951 1.887 5.875
O -2.759 1.887 11.557
O -0.699 1.887 6.037
O -2.738 0.000 13.420
O 2.075 1.887 0.003
O 1.980 0.000 1.909
O -0.401 1.887 9.719
O 1.953 1.887 3.929
O 1.946 0.000 5.989
O -0.179 1.887 13.441
O 1.942 1.887 7.842
O 4.546 1.887 1.847
O 1.924 0.000 11.288
O 4.587 1.887 6.046
O 1.831 0.000 15.344
O 4.287 1.887 9.724
O 6.633 0.000 4.102
O 3.943 1.887 13.376
O 6.643 0.000 8.148
O 8.632 1.887 1.929
```

=====

Record 3
## BeCoRu2 (PBE)

Data for BeCoRu2 after structural relaxation. Values from VASP.

## Properties
As for the space-group type: Cmm2 (35). As for the total energy: -7.072 eV per atom. The calculation puts the spin magnetization at 0.558 μB per atom. As for the volume: 49 Å³ per cell.

Structure (Quantum ESPRESSO input):
```
&SYSTEM
  ibrav = 0, nat = 4, ntyp = 3
/
ATOMIC_SPECIES
Be 9.01 Be.upf
Co 58.93 Co.upf
Ru 101.07 Ru.upf
CELL_PARAMETERS angstrom
1.378 -2.206 0.000
1.378 2.206 0.000
0.000 0.000 8.088
ATOMIC_POSITIONS angstrom
Be 0.000 0.000 0.000
Co 1.378 0.000 1.767
Ru 0.000 0.000 3.895
Ru 1.378 0.000 6.200
```

=====

| no. | calculated density (g/cm³) |
| --- | --- |
| 1 | 8.919 |
| 2 | 7.184 |
| 3 | 9.119 |